Record 1
Below is a geometry-optimized Ba3In6SnBi2 structure, with properties calculated at the PBE level.

Its energy is -3.111 eV per atom. The energy of formation from the pure elements comes out at -0.281 eV/atom. As for the space group: No. 164. The value obtained for the density of states at the Fermi level is 8.2 states/eV/cell.

Cell lengths 6.279, 6.279, 12.151 Å; angles 90.00, 90.00, 120.00 degrees
Atoms (fractional coordinates):
Ba 0.000 0.000 0.000
Ba 0.333 0.667 0.558
Ba 0.667 0.333 0.442
Sn 0.000 0.000 0.500
In 0.664 0.832 0.275
In 0.832 0.168 0.725
In 0.168 0.336 0.275
In 0.168 0.832 0.275
In 0.832 0.664 0.725
In 0.336 0.168 0.725
Bi 0.667 0.333 0.945
Bi 0.333 0.667 0.055

Record 2
Below is a geometry-optimized Ba2SrIn2Bi4 structure, with properties calculated at the PBE level.

Its energy is -3.577 eV per atom. The energy of formation from the pure elements comes out at -0.629 eV/atom. As for the space group: No. 12. The value obtained for the density of states at the Fermi level is 0.3 states/eV/cell.

Cell lengths 5.390, 7.578, 9.179 Å; angles 109.43, 107.07, 90.00 degrees
Atoms (fractional coordinates):
In 0.665 0.006 0.329
In 0.335 0.994 0.671
Ba 0.134 0.611 0.268
Ba 0.866 0.389 0.732
Bi 0.209 0.208 0.417
Bi 0.493 0.713 0.986
Bi 0.507 0.287 0.014
Bi 0.791 0.792 0.583
Sr 0.000 0.000 0.000

Record order is preserved below.
Spin magnetization: 0.00 0.00 μB per cell